Entry 1:
Computed, not measured: W7Se6 after structural relaxation at the PBE level of DFT.

The structure in extended XYZ format:
```
13
Lattice="-5.552 10.145 -2.304 -5.863 7.518 -6.939 -9.364 6.486 -3.047" Properties=species:S:1:pos:R:3 pbc="T T T"
Se -1.511 1.756 -0.893
Se -19.268 22.393 -11.396
Se -3.678 4.275 -2.176
Se -17.100 19.873 -10.113
Se -7.630 8.868 -4.513
Se -13.148 15.281 -7.776
W -9.433 10.616 -3.872
W -7.711 11.124 -5.786
W -9.586 9.325 -6.151
W -11.346 13.532 -8.417
W -11.192 14.824 -6.138
W -13.068 13.024 -6.503
W -10.389 12.074 -6.145
```

Results
E_tot   -8.18 eV/atom
Uncorrected formation energy   0.40 eV per atom
Density   10.4 g cm⁻³
D(E_F)   10.3 states/eV per cell

***

Entry 2:
Computed, not measured: CePr2Tl3 after structural relaxation at the PBE level of DFT.

The structure in extended XYZ format:
```
6
Lattice="-2.904 2.074 0.688 -1.834 -2.935 1.109 4.418 2.005 12.612" Properties=species:S:1:pos:R:3 pbc="T T T"
Ce -0.160 0.572 7.204
Pr 1.313 1.241 11.411
Pr -1.634 -0.097 2.997
Tl 0.000 0.000 0.000
Tl 2.935 1.332 8.380
Tl 1.482 0.673 4.232
```

Results
E_tot   -4.10 eV/atom
DFT formation energy   -2.02 eV/f.u.
Density   9.6 g cm⁻³
D(E_F)   10.6 states/eV per cell

***

Entry 3:
Computed, not measured: Rb4NaMn3Br12 after structural relaxation at the PBE level of DFT.

The structure in extended XYZ format:
```
20
Lattice="9.403 0.000 0.000 -3.134 8.866 0.000 -3.134 -4.433 7.678" Properties=species:S:1:pos:R:3 pbc="T T T"
Rb 1.567 2.216 3.839
Rb -1.567 -2.216 3.839
Rb 4.702 0.000 0.000
Rb -1.567 4.433 0.000
Na 0.000 0.000 0.000
Mn 3.134 -2.216 3.839
Mn 3.134 4.433 0.000
Mn -3.134 2.216 3.839
Br -1.567 1.108 5.758
Br 4.595 -3.249 5.627
Br 1.674 -1.184 2.051
Br 4.702 3.325 1.919
Br 4.595 6.498 0.000
Br 1.674 2.368 0.000
Br 4.702 0.000 3.839
Br -1.567 4.433 3.839
Br 1.567 -1.108 5.758
Br -4.595 3.249 5.627
Br 1.567 5.541 1.919
Br -1.674 1.184 2.051
```

Results
E_tot   -3.86 eV/atom
Uncorrected formation energy   -1.22 eV per atom
Density   3.9 g cm⁻³
D(E_F)   5.8 states/eV per cell